# 1
## PrSmHf (PBE)

Data for a geometry-optimized PrSmHf structure.

Unit cell a=3.402 b=3.402 c=15.534 alpha=90.00 beta=90.00 gamma=90.00
Space group I4mm (No. 107)
Symmetry-distinct sites (fractional):
Pr 0.000 0.000 0.000 (multiplicity 2)
Sm 0.000 0.000 0.306 (multiplicity 2)
Hf 0.000 0.000 0.657 (multiplicity 2)

Values from the calculation:
Its density of states at the Fermi level is 8.564 states/eV per cell. The energy relative to the elements comes out at 0.17 eV/atom. The calculation puts the energy relative to the lowest polymorph listed for this composition at 0 meV/atom. The value obtained for the total magnetization is 0.0 μB/f.u.

# 2
## Pr2SmHf (PBE)

Data for a geometry-optimized Pr2SmHf structure.

Unit cell a=5.006 b=5.006 c=4.952 alpha=90.00 beta=90.00 gamma=90.00
Space group P4/mmm (No. 123)
Symmetry-distinct sites (fractional):
Pr 0.000 0.500 0.000 (multiplicity 2)
Sm 0.000 0.000 0.500 (multiplicity 1)
Hf 0.500 0.500 0.500 (multiplicity 1)

Values from the calculation:
Its density of states at the Fermi level is 4.433 states/eV per cell. The energy relative to the elements comes out at 0.19 eV/atom. The calculation puts the energy relative to the lowest polymorph listed for this composition at 12 meV/atom. The value obtained for the total magnetization is 0.0 μB/f.u.

# 3
## PrSm2Hf (PBE)

Data for a geometry-optimized PrSm2Hf structure.

Unit cell a=3.4011 b=3.4011 c=36.8696 alpha=90.00 beta=90.00 gamma=120.00
Space group R-3m (No. 166, hexagonal axes)
Symmetry-distinct sites (fractional):
Pr 0.0000 0.0000 0.0000 (multiplicity 3)
Sm 0.0000 0.0000 0.4159 (multiplicity 6)
Hf 0.0000 0.0000 0.5000 (multiplicity 3)

Values from the calculation:
Its density of states at the Fermi level is 16.689 states/eV per cell. The energy relative to the elements comes out at 0.40 eV/atom. The calculation puts the energy relative to the lowest polymorph listed for this composition at 220 meV/atom. The value obtained for the total magnetization is 0.0 μB/f.u.